Entry 1:
The following is a SCAN calculation of a crystal of Zn2AsCl relaxed with PBEsol, from Alexandria.

Summary:
Space-group type ... C2/m, No. 12
E above lowest polymorph ... 762 meV/atom
Volume ... 18.13 Å³ per atom
DFT total energy ... -13.581 eV per atom

Structure (POSCAR):
```
Zn2AsCl
1.0
-0.319 -2.184 1.710
2.288 -2.658 -2.968
3.846 3.762 3.244
As Zn Cl
1 2 1
direct
0.500 0.000 0.000
0.780 0.781 0.559
0.220 0.219 0.441
0.000 0.500 0.000
```

---

Entry 2:
The following is a SCAN calculation of a crystal of ZnAs2Cl relaxed with PBEsol, from Alexandria.

Summary:
Space-group type ... Immm, No. 71
E above lowest polymorph ... 0 meV/atom
Volume ... 18.64 Å³ per atom
DFT total energy ... -15.421 eV per atom

Structure (POSCAR):
```
ZnAs2Cl
1.0
3.061 0.000 0.000
0.000 4.364 0.000
-1.530 -2.182 5.583
As Zn Cl
2 1 1
direct
0.796 0.796 0.592
0.204 0.204 0.408
0.500 0.000 0.000
0.000 0.500 0.000
```

---

Entry 3:
The following is a SCAN calculation of a crystal of Zn2AsCl relaxed with PBEsol, from Alexandria.

Summary:
Space-group type ... Cm, No. 8
E above lowest polymorph ... 185 meV/atom
Volume ... 21.76 Å³ per atom
DFT total energy ... -14.158 eV per atom

Structure (POSCAR):
```
Zn2AsCl
1.0
-1.487 -3.086 -1.238
-1.310 -0.678 3.264
-4.811 4.866 -0.993
As Zn Cl
1 2 1
direct
0.536 0.497 0.072
0.013 0.995 0.025
0.672 0.002 0.343
0.280 0.006 0.560
```

---

Entry 4:
The following is a SCAN calculation of a crystal of Zn2AsCl relaxed with PBEsol, from Alexandria.

Summary:
Space-group type ... I-42d, No. 122
E above lowest polymorph ... 0 meV/atom
Volume ... 22.80 Å³ per atom
DFT total energy ... -14.343 eV per atom

Structure (POSCAR):
```
Zn2AsCl
1.0
-2.250 -0.582 -5.070
5.083 -0.752 -2.169
-1.897 -5.110 4.496
As Zn Cl
2 4 2
direct
0.250 0.750 0.500
0.000 0.000 0.000
0.909 0.375 0.250
0.341 0.875 0.250
0.625 0.659 0.750
0.125 0.091 0.750
0.750 0.250 0.500
0.500 0.500 0.000
```

---

Entry 5:
The following is a SCAN calculation of a crystal of ZnAs2Cl relaxed with PBEsol, from Alexandria.

Summary:
Space-group type ... P4/mmm, No. 123
E above lowest polymorph ... 376 meV/atom
Volume ... 17.94 Å³ per atom
DFT total energy ... -15.045 eV per atom

Structure (POSCAR):
```
ZnAs2Cl
1.0
-1.707 2.338 0.338
-3.973 -2.733 -1.167
-0.619 -1.144 4.788
As Zn Cl
2 1 1
direct
0.000 0.000 0.500
0.000 0.500 0.000
0.500 0.000 0.000
0.500 0.500 0.500
```

---

Entry 6:
The following is a SCAN calculation of a crystal of ZnAs2Cl relaxed with PBEsol, from Alexandria.

Summary:
Space-group type ... I4/mmm, No. 139
E above lowest polymorph ... 69 meV/atom
Volume ... 20.89 Å³ per atom
DFT total energy ... -15.352 eV per atom

Structure (POSCAR):
```
ZnAs2Cl
1.0
3.602 0.000 0.000
0.000 3.602 0.000
-1.801 -1.801 6.442
As Zn Cl
2 1 1
direct
0.750 0.250 0.500
0.250 0.750 0.500
0.000 0.000 0.000
0.500 0.500 0.000
```

---

Entry 7:
The following is a SCAN calculation of a crystal of ZnAsCl3 relaxed with PBEsol, from Alexandria.

Summary:
Space-group type ... Pm-3m, No. 221
Volume ... 21.76 Å³ per atom
DFT total energy ... -11.778 eV per atom

Structure (POSCAR):
```
ZnAsCl3
1.0
-3.100 3.482 -1.029
-1.649 -2.555 -3.680
-3.235 -2.034 2.862
As Zn Cl
1 1 3
direct
0.500 0.500 0.500
0.000 0.000 0.000
0.000 0.500 0.000
0.000 0.000 0.500
0.500 0.000 0.000
```

---

Entry 8:
The following is a SCAN calculation of a crystal of Zr2AsCl relaxed with PBEsol, from Alexandria.

Summary:
Space-group type ... P4mm, No. 99
Volume ... 21.45 Å³ per atom
DFT total energy ... -23.116 eV per atom

Structure (POSCAR):
```
Zr2AsCl
1.0
-1.913 2.423 -0.088
-2.310 -1.788 1.002
2.141 2.001 8.504
As Zr Cl
1 2 1
direct
0.000 0.000 0.463
0.000 0.000 0.979
0.500 0.500 0.248
0.500 0.500 0.809
```

---

Entry 9:
The following is a SCAN calculation of a crystal of Co3As relaxed with PBEsol, from Alexandria.

Summary:
Formation energy ... 0.308 eV/atom
Space-group type ... P-6m2, No. 187
Volume ... 11.70 Å³ per atom
DFT total energy ... -17.717 eV per atom

Structure (POSCAR):
```
Co3As
1.0
-1.487 2.135 0.806
-0.877 -2.532 0.487
3.494 0.019 6.394
As Co
1 3
direct
0.000 0.000 0.000
0.000 0.000 0.500
0.333 0.667 0.757
0.333 0.667 0.243
```

---

Entry 10:
The following is a SCAN calculation of a crystal of Co3As relaxed with PBEsol, from Alexandria.

Summary:
Formation energy ... 0.102 eV/atom
Space-group type ... Pm-3n, No. 223
Volume ... 11.26 Å³ per atom
DFT total energy ... -17.924 eV per atom

Structure (POSCAR):
```
Co3As
1.0
4.483 0.000 0.000
0.000 4.483 0.000
0.000 0.000 4.483
As Co
2 6
direct
0.000 0.000 0.000
0.500 0.500 0.500
0.750 0.500 0.000
0.250 0.500 0.000
0.000 0.750 0.500
0.000 0.250 0.500
0.500 0.000 0.250
0.500 0.000 0.750
```

---

Entry 11:
The following is a SCAN calculation of a crystal of Co3As relaxed with PBEsol, from Alexandria.

Summary:
Formation energy ... 0.263 eV/atom
Space-group type ... R-3m, No. 166
Volume ... 11.58 Å³ per atom
DFT total energy ... -17.763 eV per atom

Structure (POSCAR):
```
Co3As
1.0
-1.883 -1.358 -1.294
0.659 -2.115 -1.469
-1.326 -5.637 5.115
As Co
1 3
direct
0.000 0.000 0.000
0.750 0.750 0.750
0.500 0.500 0.500
0.250 0.250 0.250
```

---

Entry 12:
The following is a SCAN calculation of a crystal of CrCoAs2 relaxed with PBEsol, from Alexandria.

Summary:
Formation energy ... 0.063 eV/atom
Space-group type ... Amm2, No. 38
E above lowest polymorph ... 65 meV/atom
Volume ... 13.87 Å³ per atom
DFT total energy ... -18.955 eV per atom

Structure (POSCAR):
```
CrCoAs2
1.0
-1.915 -2.159 -0.279
3.395 -0.705 -2.855
2.177 -2.340 3.167
As Co Cr
2 1 1
direct
0.286 0.948 0.000
0.462 0.298 0.500
0.577 0.528 0.000
0.175 0.726 0.500
```

---

Entry 13:
The following is a SCAN calculation of a crystal of CrCoAs2 relaxed with PBEsol, from Alexandria.

Summary:
Formation energy ... -0.002 eV/atom
Space-group type ... Cm, No. 8
E above lowest polymorph ... 0 meV/atom
Volume ... 12.92 Å³ per atom
DFT total energy ... -19.020 eV per atom

Structure (POSCAR):
```
CrCoAs2
1.0
-2.640 -0.467 -1.426
1.954 -2.265 -2.877
0.263 -2.630 3.608
As Co Cr
2 1 1
direct
0.004 0.084 0.008
0.248 0.678 0.495
0.516 0.571 0.033
0.732 0.167 0.464
```

---

Entry 14:
The following is a SCAN calculation of a crystal of CrCoRe2As relaxed with PBEsol, from Alexandria.

Summary:
Formation energy ... 1.456 eV/atom
Space-group type ... P4/mmm, No. 123
Volume ... 16.51 Å³ per atom
DFT total energy ... -38.159 eV per atom

Structure (POSCAR):
```
CrCoRe2As
1.0
4.187 0.000 0.000
0.000 4.440 0.000
0.000 0.000 4.440
Re As Co Cr
2 1 1 1
direct
0.000 0.000 0.500
0.000 0.500 0.000
0.500 0.000 0.000
0.000 0.000 0.000
0.500 0.500 0.500
```

---

Entry 15:
The following is a SCAN calculation of a crystal of Sc2CrCoAs relaxed with PBEsol, from Alexandria.

Summary:
Formation energy ... 0.097 eV/atom
Space-group type ... P4/mmm, No. 123
Volume ... 20.93 Å³ per atom
DFT total energy ... -16.774 eV per atom

Structure (POSCAR):
```
Sc2CrCoAs
1.0
-1.862 1.769 -3.347
-0.248 -4.453 -2.217
-4.462 -0.782 2.070
Sc Cr As Co
2 1 1 1
direct
0.000 0.000 0.500
0.000 0.500 0.000
0.500 0.500 0.500
0.000 0.000 0.000
0.500 0.000 0.000
```

---

Entry 16:
The following is a SCAN calculation of a crystal of CrCo2TcAs relaxed with PBEsol, from Alexandria.

Summary:
Formation energy ... 1.088 eV/atom
Space-group type ... P4/mmm, No. 123
Volume ... 17.54 Å³ per atom
DFT total energy ... -20.561 eV per atom

Structure (POSCAR):
```
CrCo2TcAs
1.0
4.364 0.000 0.000
0.000 4.364 0.000
0.000 0.000 4.603
Cr As Co Tc
1 1 2 1
direct
0.500 0.500 0.500
0.000 0.000 0.500
0.000 0.500 0.000
0.500 0.000 0.000
0.000 0.000 0.000
```

---

Entry 17:
The following is a SCAN calculation of a crystal of CsCo2As2 relaxed with PBEsol, from Alexandria.

Summary:
Formation energy ... -0.389 eV/atom
Space-group type ... I4/mmm, No. 139
Volume ... 20.65 Å³ per atom
DFT total energy ... -22.949 eV per atom

Structure (POSCAR):
```
CsCo2As2
1.0
3.738 0.000 0.000
0.000 3.738 0.000
-1.869 -1.869 7.393
Cs As Co
1 2 2
direct
0.000 0.000 0.000
0.339 0.339 0.678
0.661 0.661 0.322
0.250 0.750 0.500
0.750 0.250 0.500
```

---

Entry 18:
The following is a SCAN calculation of a crystal of CsCo2AsPb relaxed with PBEsol, from Alexandria.

Summary:
Formation energy ... 2.143 eV/atom
Space-group type ... P4/mmm, No. 123
Volume ... 26.74 Å³ per atom
DFT total energy ... -31.535 eV per atom

Structure (POSCAR):
```
CsCo2AsPb
1.0
4.662 0.000 0.000
0.000 4.662 0.000
0.000 0.000 6.150
Pb Cs As Co
1 1 1 2
direct
0.000 0.000 0.500
0.000 0.000 0.000
0.500 0.500 0.500
0.000 0.500 0.000
0.500 0.000 0.000
```

---

Entry 19:
The following is a SCAN calculation of a crystal of CoCu2As relaxed with PBEsol, from Alexandria.

Summary:
Formation energy ... 0.191 eV/atom
Space-group type ... Cmmm, No. 65
Volume ... 12.23 Å³ per atom
DFT total energy ... -16.782 eV per atom

Structure (POSCAR):
```
CoCu2As
1.0
-0.283 -2.738 -0.389
1.435 -0.729 4.089
-4.354 0.496 -0.328
As Co Cu
1 1 2
direct
0.500 0.000 0.000
0.500 0.500 0.500
0.000 0.500 0.000
0.000 0.000 0.500
```

---

Entry 20:
The following is a SCAN calculation of a crystal of CoCu2As relaxed with PBEsol, from Alexandria.

Summary:
Formation energy ... 0.096 eV/atom
Space-group type ... P4/mmm, No. 123
Volume ... 11.83 Å³ per atom
DFT total energy ... -16.878 eV per atom

Structure (POSCAR):
```
CoCu2As
1.0
3.514 0.000 0.000
0.000 3.514 0.000
0.000 0.000 3.832
As Co Cu
1 1 2
direct
0.500 0.500 0.500
0.000 0.000 0.500
0.000 0.500 0.000
0.500 0.000 0.000
```

---

Entry 21:
The following is a SCAN calculation of a crystal of CoCuAs relaxed with PBEsol, from Alexandria.

Summary:
Formation energy ... 0.107 eV/atom
Space-group type ... Imm2, No. 44
Volume ... 12.16 Å³ per atom
DFT total energy ... -17.458 eV per atom

Structure (POSCAR):
```
CoCuAs
1.0
3.112 0.000 0.000
0.000 2.968 0.000
-1.556 -1.484 3.950
As Co Cu
1 1 1
direct
0.015 0.015 0.029
0.654 0.654 0.308
0.331 0.331 0.663
```

---

Entry 22:
The following is a SCAN calculation of a crystal of Co7CuAs4H4O20 relaxed with PBEsol, from Alexandria.

Summary:
Space-group type ... Pm, No. 6
Volume ... 11.40 Å³ per atom
DFT total energy ... -11.102 eV per atom

Structure (POSCAR):
```
Co7CuAs4H4O20
1.0
-4.187 1.574 -3.861
-4.587 -6.228 2.435
-3.584 5.025 5.935
Co Cu As H O
7 1 4 4 20
direct
0.269 0.498 0.500
0.228 0.000 0.002
0.731 0.498 0.500
0.772 0.000 0.002
0.500 0.642 0.871
0.000 0.862 0.368
0.000 0.139 0.629
0.500 0.367 0.132
0.000 0.247 0.251
0.000 0.749 0.744
0.500 0.756 0.247
0.500 0.250 0.757
0.500 0.269 0.402
0.500 0.729 0.586
0.000 0.764 0.086
0.000 0.230 0.914
0.228 0.219 0.128
0.227 0.773 0.871
0.274 0.730 0.375
0.273 0.270 0.628
0.773 0.773 0.871
0.772 0.219 0.128
0.727 0.270 0.628
0.726 0.730 0.375
0.000 0.098 0.395
0.000 0.902 0.605
0.500 0.609 0.105
0.500 0.406 0.894
0.000 0.431 0.352
0.000 0.565 0.645
0.500 0.941 0.151
0.500 0.068 0.858
0.500 0.384 0.365
0.500 0.619 0.635
0.000 0.875 0.134
0.000 0.120 0.864
```

---

Entry 23:
The following is a SCAN calculation of a crystal of KCo2CuAs relaxed with PBEsol, from Alexandria.

Summary:
Formation energy ... 0.485 eV/atom
Space-group type ... P4/mmm, No. 123
Volume ... 18.72 Å³ per atom
DFT total energy ... -15.181 eV per atom

Structure (POSCAR):
```
KCo2CuAs
1.0
4.490 0.000 0.000
0.000 4.490 0.000
0.000 0.000 4.643
As Co K Cu
1 2 1 1
direct
0.000 0.000 0.000
0.000 0.500 0.000
0.500 0.000 0.000
0.500 0.500 0.500
0.000 0.000 0.500
```

---

Entry 24:
The following is a SCAN calculation of a crystal of SrCoCu2As relaxed with PBEsol, from Alexandria.

Summary:
Formation energy ... 0.449 eV/atom
Space-group type ... P4/mmm, No. 123
Volume ... 23.37 Å³ per atom
DFT total energy ... -17.585 eV per atom

Structure (POSCAR):
```
SrCoCu2As
1.0
-2.269 -0.415 -3.810
-1.602 -3.919 1.382
-4.605 2.744 2.443
Sr As Co Cu
1 1 1 2
direct
0.000 0.000 0.500
0.000 0.000 0.000
0.500 0.500 0.500
0.000 0.500 0.000
0.500 0.000 0.000
```

---

Entry 25:
The following is a SCAN calculation of a crystal of Tl2CoCuAs relaxed with PBEsol, from Alexandria.

Summary:
Formation energy ... 0.806 eV/atom
Space-group type ... P4/mmm, No. 123
Volume ... 21.95 Å³ per atom
DFT total energy ... -38.677 eV per atom

Structure (POSCAR):
```
Tl2CoCuAs
1.0
4.511 0.000 0.000
0.000 4.933 0.000
0.000 0.000 4.933
Tl Co As Cu
2 1 1 1
direct
0.000 0.000 0.500
0.000 0.500 0.000
0.500 0.000 0.000
0.500 0.500 0.500
0.000 0.000 0.000
```

---

Entry 26:
The following is a SCAN calculation of a crystal of EuCo2As2 relaxed with PBEsol, from Alexandria.

Summary:
Formation energy ... -0.676 eV/atom
Space-group type ... I4/mmm, No. 139
Volume ... 16.09 Å³ per atom
DFT total energy ... -26.416 eV per atom

Structure (POSCAR):
```
EuCo2As2
1.0
3.965 0.000 0.000
0.000 3.965 0.000
-1.983 -1.983 5.118
Eu As Co
1 2 2
direct
0.000 0.000 0.000
0.635 0.635 0.270
0.365 0.365 0.730
0.250 0.750 0.500
0.750 0.250 0.500
```